No. 1
An optimized crystal structure of CaAlBr. Source: Alexandria via LeMat-Bulk, functional GGA-PBEsol.

Cell lengths 6.9734, 6.9734, 6.9734 Å; angles 90.00, 90.00, 90.00 degrees
With the nearest neighbours (Å) after each atom.
Space group F-43m (No. 216)
Asymmetric unit:
Ca 0.0000 0.0000 0.0000 (multiplicity 4)  4 Br 3.02
Al 0.0000 0.0000 0.5000 (multiplicity 4)  4 Br 3.02
Br 0.2500 0.2500 0.2500 (multiplicity 4)  4 Ca 3.02, 4 Al 3.02

Output
Magnetization = 0.0 μB/f.u.
Energy relative to the elements, uncorrected = -0.186 eV/atom
Theoretical density = 2.9 Mg/m³

No. 2
An optimized crystal structure of Dy2Ge3Pt9. Source: Alexandria via LeMat-Bulk, functional GGA-PBEsol.

Cell lengths 13.3439, 7.7382, 9.9723 Å; angles 90.00, 116.82, 90.00 degrees
With the nearest neighbours (Å) after each atom.
Space group C2/c (No. 15)
Asymmetric unit:
Dy 0.1691 0.0854 0.2512 (multiplicity 8)  11 Pt 2.93-3.16, 1 Ge 3.27
Ge 0.0896 0.2285 0.4972 (multiplicity 8)  6 Pt 2.44-2.70
Ge 0.2500 0.2500 0.0000 (multiplicity 4)  8 Pt 2.46-2.67
Pt 0.0000 0.3679 0.2500 (multiplicity 4)  2 Ge 2.45, 2 Pt 2.70
Pt 0.0591 0.0825 0.9224 (multiplicity 8)  3 Ge 2.50-2.70, 2 Pt 2.71-2.77
Pt 0.1050 0.3092 0.7423 (multiplicity 8)  2 Ge 2.44-2.46, 1 Pt 2.71
Pt 0.1114 0.4115 0.0751 (multiplicity 8)  3 Ge 2.61-2.87, 4 Pt 2.75-2.90
Pt 0.2228 0.4179 0.4196 (multiplicity 8)  3 Ge 2.52-2.67, 2 Pt 2.70-2.75

Output
Magnetization = 0.0 μB/f.u.
Total DFT energy (no corrections) = -394.504 eV per cell
Theoretical density = 16.6 Mg/m³

No. 3
An optimized crystal structure of Hf3ScBe. Source: Alexandria via LeMat-Bulk, functional GGA-PBEsol.

Cell lengths 4.7099, 4.7099, 4.7099 Å; angles 90.00, 90.00, 90.00 degrees
With the nearest neighbours (Å) after each atom.
Space group Pm-3m (No. 221)
Asymmetric unit:
Hf 0.0000 0.0000 0.5000 (multiplicity 3)  2 Be 2.35
Sc 0.5000 0.5000 0.5000 (multiplicity 1)  12 Hf 3.33
Be 0.0000 0.0000 0.0000 (multiplicity 1)  6 Hf 2.35

Output
Magnetization = 0.0 μB/f.u.
Total DFT energy (no corrections) = -40.110 eV per cell
Theoretical density = 9.4 Mg/m³

No. 4
An optimized crystal structure of Ba3SmIrRuO9. Source: Alexandria via LeMat-Bulk, functional GGA-PBEsol.

Cell lengths 5.8951, 5.8951, 14.6560 Å; angles 90.00, 90.00, 120.00 degrees
With the nearest neighbours (Å) after each atom.
Space group P6_3mc (No. 186)
Asymmetric unit:
Ba 0.0000 0.0000 0.0000 (multiplicity 2)  12 O 2.95-2.98
Ba 0.3333 0.6667 0.1550 (multiplicity 2)  12 O 2.88-3.12
Ba 0.3333 0.6667 0.8490 (multiplicity 2)  12 O 2.86-3.20
Sm 0.0000 0.0000 0.2504 (multiplicity 2)  6 O 2.23-2.26
Ir 0.3333 0.6667 0.4160 (multiplicity 2)  6 O 1.95-2.04
Ru 0.3333 0.6667 0.5852 (multiplicity 2)  6 O 1.92-2.03
O 0.0182 0.5091 0.5012 (multiplicity 6)  1 Ru 2.03, 1 Ir 2.04
O 0.1778 0.3555 0.3384 (multiplicity 6)  1 Ir 1.95
O 0.1784 0.3568 0.6589 (multiplicity 6)  1 Ru 1.92

Output
Magnetization = 1.4 μB/f.u.
Energy relative to the elements, uncorrected = -2.182 eV/atom
Theoretical density = 7.5 Mg/m³

No. 5
An optimized crystal structure of FeMoW2. Source: Alexandria via LeMat-Bulk, functional GGA-PBEsol.

Cell lengths 2.6496, 4.3611, 5.1127 Å; angles 90.00, 99.63, 90.00 degrees
With the nearest neighbours (Å) after each atom.
Space group Pm (No. 6)
Asymmetric unit:
Fe 0.0000 0.0000 0.0000 (multiplicity 1)  4 W 2.64-2.68, 2 Fe 2.65, 2 Mo 2.67
Mo 0.7454 0.5000 0.2486 (multiplicity 1)  4 W 2.64-2.71, 2 Mo 2.65, 2 Fe 2.67
W 0.2429 0.5000 0.7575 (multiplicity 1)  2 Mo 2.64-2.71, 2 Fe 2.64, 4 W 2.65-2.69
W 0.4990 0.0000 0.5004 (multiplicity 1)  4 W 2.65-2.69, 2 Mo 2.67, 2 Fe 2.67-2.68

Output
Magnetization = 2.2 μB/f.u.
Offset from the most stable computed form = 0.057 eV per atom
Theoretical density = 14.8 Mg/m³

No. 6
An optimized crystal structure of NaRe3Ag. Source: Alexandria via LeMat-Bulk, functional GGA-PBEsol.

Cell lengths 4.7621, 4.7621, 4.7621 Å; angles 90.00, 90.00, 90.00 degrees
With the nearest neighbours (Å) after each atom.
Space group Pm-3m (No. 221)
Asymmetric unit:
Na 0.0000 0.0000 0.0000 (multiplicity 1)  12 Re 3.37
Re 0.0000 0.5000 0.5000 (multiplicity 3)  2 Ag 2.38
Ag 0.5000 0.5000 0.5000 (multiplicity 1)  6 Re 2.38

Output
Magnetization = 0.7 μB/f.u.
Total DFT energy (no corrections) = -28.944 eV per cell
Theoretical density = 10.6 Mg/m³